Here is an optimized crystal structure of Li3ZrP2 from OQMD via LeMat-Bulk. Energies are from PBE-GGA. Values from VASP.

Cell and atoms, written as Quantum ESPRESSO input:
```
&SYSTEM
  ibrav = 0, nat = 12, ntyp = 3
/
ATOMIC_SPECIES
Li 6.94 Li.upf
Zr 91.22 Zr.upf
P 30.97 P.upf
ATOMIC_POSITIONS angstrom
Li 0.976 2.365 0.000
Li 0.000 0.000 1.445
Li 4.001 3.867 0.000
Li -0.976 2.365 2.890
Li 0.000 0.000 4.335
Li 2.049 3.867 2.890
Zr 3.025 0.000 1.445
Zr 0.000 6.232 1.445
P 4.592 1.465 0.000
P 1.568 4.767 0.000
P 1.457 1.465 2.890
P -1.568 4.767 2.890
CELL_PARAMETERS angstrom
-3.025 6.232 2.890
3.025 -6.232 2.890
3.025 6.232 -2.890
```

Properties
magnetization: 0.024 μB per atom
symmetry: No. 72
uncorrected energy: -4.854 eV/atom

***

Here is an optimized crystal structure of NdYCd4 from OQMD via LeMat-Bulk. Energies are from PBE-GGA. Values from VASP.

Cell and atoms, written as Quantum ESPRESSO input:
```
&SYSTEM
  ibrav = 0, nat = 6, ntyp = 3
/
ATOMIC_SPECIES
Nd 144.24 Nd.upf
Y 88.91 Y.upf
Cd 112.41 Cd.upf
ATOMIC_POSITIONS angstrom
Nd 0.000 0.000 0.000
Y 0.000 2.499 4.332
Cd 1.699 0.000 5.754
Cd 1.700 2.499 1.468
Cd 1.720 0.000 2.911
Cd 1.720 2.499 7.196
CELL_PARAMETERS angstrom
3.420 0.000 0.000
0.000 4.998 0.000
-0.001 0.000 8.665
```

Properties
magnetization: 0.003 μB per atom
energy of formation from the pure elements: -348 meV/atom
symmetry: No. 10
uncorrected energy: -2.817 eV/atom

***

Here is an optimized crystal structure of CsLiMoPd from OQMD via LeMat-Bulk. Energies are from PBE-GGA. Values from VASP.

Cell and atoms, written as Quantum ESPRESSO input:
```
&SYSTEM
  ibrav = 0, nat = 16, ntyp = 4
/
ATOMIC_SPECIES
Cs 132.91 Cs.upf
Li 6.94 Li.upf
Mo 95.94 Mo.upf
Pd 106.42 Pd.upf
ATOMIC_POSITIONS angstrom
Cs 0.000 0.000 0.000
Cs 0.000 3.404 3.404
Cs 3.404 0.000 3.404
Cs 3.404 3.404 0.000
Li 1.702 1.702 1.702
Li 1.702 5.106 5.106
Li 5.106 1.702 5.106
Li 5.106 5.106 1.702
Mo 1.702 1.702 5.106
Mo 1.702 5.106 1.702
Mo 5.106 1.702 1.702
Mo 5.106 5.106 5.106
Pd 0.000 0.000 3.404
Pd 0.000 3.404 0.000
Pd 3.404 0.000 0.000
Pd 3.404 3.404 3.404
CELL_PARAMETERS angstrom
6.808 0.000 0.000
0.000 6.808 0.000
0.000 0.000 6.808
```

Properties
magnetization: 0.304 μB per atom
symmetry: No. 216
uncorrected energy: -3.560 eV/atom
relative energy among the computed polymorphs: 0 meV per atom

***

Which formula does entry 1 have? Li3ZrP2